# 1
This record from the Alexandria database describes crystalline PaCd2Pb at its relaxed geometry. The functional is PBE-GGA.

Unit cell a=3.1572 b=3.1572 c=10.3373 alpha=90.00 beta=90.00 gamma=90.00
Closest atoms and distances in Å follow each position.
Fractional positions:
Cd1 0.0000 0.0000 0.2600  4 Cd 3.16, 4 Pa 3.34, 4 Pb 3.49
Cd2 0.0000 0.0000 0.7400  4 Cd 3.16, 4 Pa 3.34, 4 Pb 3.49
Pb1 0.5000 0.5000 0.0000  4 Pb 3.16, 8 Cd 3.49
Pa1 0.5000 0.5000 0.5000  4 Pa 3.16, 8 Cd 3.34

## Properties
calculated formation energy: 0.1188 eV/atom
E: -3.640 eV/atom
symmetry: P4/mmm

=====

# 2
This record from the Alexandria database describes crystalline AlP2W at its relaxed geometry. The functional is PBE-GGA.

Unit cell a=2.8000 b=2.8000 c=9.5473 alpha=90.00 beta=90.00 gamma=106.55
Closest atoms and distances in Å follow each position.
Fractional positions:
P1 0.0000 0.0000 0.9281  2 Al 2.48
P2 0.5000 0.5000 0.3242  2 W 2.45
Al1 0.5000 0.5000 0.7362  2 P 2.48, 2 W 2.72
W1 0.0000 0.0000 0.5115  2 P 2.45, 2 Al 2.72

## Properties
calculated formation energy: 0.2153 eV/atom
E: -6.664 eV/atom
symmetry: Cmm2